No. 1
Below is crystalline GdHfIr at its relaxed geometry, with properties calculated at the PBE level.

Summary:
E, eV/cell: -86.94
Energy of formation from the pure elements, eV/atom: 0.576
SG: F-43m, No. 216
Calculated density, g cm⁻³: 12.637

a = 6.5227 Å, b = 6.5227 Å, c = 6.5227 Å
α = 90.00°, β = 90.00°, γ = 90.00°
Last column: nearest neighbours and their distance in Å.
Fractional coordinates of all 12 atoms:
Gd (0.0000, 0.0000, 0.0000)  4 Hf 2.82, 4 Ir 2.82
Gd (0.0000, 0.5000, 0.5000)  4 Hf 2.82, 4 Ir 2.82
Gd (0.5000, 0.0000, 0.5000)  4 Hf 2.82, 4 Ir 2.82
Gd (0.5000, 0.5000, 0.0000)  4 Hf 2.82, 4 Ir 2.82
Hf (0.2500, 0.2500, 0.7500)  4 Gd 2.82
Hf (0.2500, 0.7500, 0.2500)  4 Gd 2.82
Hf (0.7500, 0.2500, 0.2500)  4 Gd 2.82
Hf (0.7500, 0.7500, 0.7500)  4 Gd 2.82
Ir (0.2500, 0.2500, 0.2500)  4 Gd 2.82
Ir (0.2500, 0.7500, 0.7500)  4 Gd 2.82
Ir (0.7500, 0.2500, 0.7500)  4 Gd 2.82
Ir (0.7500, 0.7500, 0.2500)  4 Gd 2.82

=====

No. 2
Below is crystalline LaGdHf at its relaxed geometry, with properties calculated at the PBE level.

Summary:
E, eV/cell: -68.52
Energy of formation from the pure elements, eV/atom: 0.801
Distance to the lowest polymorph of the same formula, meV per atom: 0
SG: F-43m, No. 216
Calculated density, g cm⁻³: 7.701

a = 7.4252 Å, b = 7.4252 Å, c = 7.4252 Å
α = 90.00°, β = 90.00°, γ = 90.00°
Last column: nearest neighbours and their distance in Å.
Fractional coordinates of all 12 atoms:
La (0.0000, 0.0000, 0.0000)  4 Hf 3.22
La (0.0000, 0.5000, 0.5000)  4 Hf 3.22
La (0.5000, 0.0000, 0.5000)  4 Hf 3.22
La (0.5000, 0.5000, 0.0000)  4 Hf 3.22
Gd (0.0000, 0.0000, 0.5000)  4 Hf 3.22
Gd (0.0000, 0.5000, 0.0000)  4 Hf 3.22
Gd (0.5000, 0.0000, 0.0000)  4 Hf 3.22
Gd (0.5000, 0.5000, 0.5000)  4 Hf 3.22
Hf (0.2500, 0.2500, 0.7500)  4 Gd 3.22, 4 La 3.22
Hf (0.2500, 0.7500, 0.2500)  4 Gd 3.22, 4 La 3.22
Hf (0.7500, 0.2500, 0.2500)  4 Gd 3.22, 4 La 3.22
Hf (0.7500, 0.7500, 0.7500)  4 La 3.22, 4 Gd 3.22

=====

No. 3
Below is crystalline LiGdHf at its relaxed geometry, with properties calculated at the PBE level.

Summary:
E, eV/cell: -52.10
SG: F-43m, No. 216
Calculated density, g cm⁻³: 6.879

a = 6.9164 Å, b = 6.9164 Å, c = 6.9164 Å
α = 90.00°, β = 90.00°, γ = 90.00°
Last column: nearest neighbours and their distance in Å.
Fractional coordinates of all 12 atoms:
Li (0.0000, 0.0000, 0.0000)  4 Hf 2.99
Li (0.0000, 0.5000, 0.5000)  4 Hf 2.99
Li (0.5000, 0.0000, 0.5000)  4 Hf 2.99
Li (0.5000, 0.5000, 0.0000)  4 Hf 2.99
Gd (0.0000, 0.0000, 0.5000)  4 Hf 2.99
Gd (0.0000, 0.5000, 0.0000)  4 Hf 2.99
Gd (0.5000, 0.0000, 0.0000)  4 Hf 2.99
Gd (0.5000, 0.5000, 0.5000)  4 Hf 2.99
Hf (0.2500, 0.2500, 0.7500)  4 Gd 2.99, 4 Li 2.99
Hf (0.2500, 0.7500, 0.2500)  4 Gd 2.99, 4 Li 2.99
Hf (0.7500, 0.2500, 0.2500)  4 Gd 2.99, 4 Li 2.99
Hf (0.7500, 0.7500, 0.7500)  4 Gd 2.99, 4 Li 2.99

=====

No. 4
Below is crystalline GdHf4Mg at its relaxed geometry, with properties calculated at the PBE level.

Summary:
E, eV/cell: -75.76
SG: Cmmm, No. 65
Calculated density, g cm⁻³: 8.984

a = 7.9002 Å, b = 7.9209 Å, c = 5.2904 Å
α = 90.00°, β = 90.00°, γ = 90.00°
Last column: nearest neighbours and their distance in Å.
Fractional coordinates of all 12 atoms:
Gd (0.0000, 0.0000, 0.0000)  6 Hf 2.66-2.97
Gd (0.5000, 0.5000, 0.0000)  6 Hf 2.66-2.97
Hf (0.0000, 0.3360, 0.0000)  1 Hf 2.60, 1 Gd 2.66
Hf (0.0000, 0.6640, 0.0000)  1 Hf 2.60, 1 Gd 2.66
Hf (0.1720, 0.0000, 0.5000)  1 Mg 2.59, 1 Hf 2.72
Hf (0.3280, 0.5000, 0.5000)  1 Mg 2.59, 1 Hf 2.72
Hf (0.5000, 0.1640, 0.0000)  1 Hf 2.60, 1 Gd 2.66
Hf (0.5000, 0.8360, 0.0000)  1 Hf 2.60, 1 Gd 2.66
Hf (0.6720, 0.5000, 0.5000)  1 Mg 2.59, 1 Hf 2.72
Hf (0.8280, 0.0000, 0.5000)  1 Mg 2.59, 1 Hf 2.72
Mg (0.0000, 0.5000, 0.5000)  2 Hf 2.59
Mg (0.5000, 0.0000, 0.5000)  2 Hf 2.59

=====

No. 5
Below is crystalline GdHfMg at its relaxed geometry, with properties calculated at the PBE level.

Summary:
E, eV/cell: -55.77
Distance to the lowest polymorph of the same formula, meV per atom: 0
SG: F-43m, No. 216
Calculated density, g cm⁻³: 6.928

a = 7.0147 Å, b = 7.0147 Å, c = 7.0147 Å
α = 90.00°, β = 90.00°, γ = 90.00°
Last column: nearest neighbours and their distance in Å.
Fractional coordinates of all 12 atoms:
Gd (0.0000, 0.0000, 0.0000)  4 Mg 3.04
Gd (0.0000, 0.5000, 0.5000)  4 Mg 3.04
Gd (0.5000, 0.0000, 0.5000)  4 Mg 3.04
Gd (0.5000, 0.5000, 0.0000)  4 Mg 3.04
Hf (0.0000, 0.0000, 0.5000)  4 Mg 3.04
Hf (0.0000, 0.5000, 0.0000)  4 Mg 3.04
Hf (0.5000, 0.0000, 0.0000)  4 Mg 3.04
Hf (0.5000, 0.5000, 0.5000)  4 Mg 3.04
Mg (0.2500, 0.2500, 0.2500)  4 Hf 3.04, 4 Gd 3.04
Mg (0.2500, 0.7500, 0.7500)  4 Hf 3.04, 4 Gd 3.04
Mg (0.7500, 0.2500, 0.7500)  4 Hf 3.04, 4 Gd 3.04
Mg (0.7500, 0.7500, 0.2500)  4 Hf 3.04, 4 Gd 3.04

=====

No. 6
Below is crystalline GdHfMo at its relaxed geometry, with properties calculated at the PBE level.

Summary:
E, eV/cell: -84.47
Energy of formation from the pure elements, eV/atom: 1.446
SG: F-43m, No. 216
Calculated density, g cm⁻³: 9.870

a = 6.6229 Å, b = 6.6229 Å, c = 6.6229 Å
α = 90.00°, β = 90.00°, γ = 90.00°
Last column: nearest neighbours and their distance in Å.
Fractional coordinates of all 12 atoms:
Gd (0.0000, 0.0000, 0.0000)  4 Hf 2.87, 4 Mo 2.87
Gd (0.0000, 0.5000, 0.5000)  4 Hf 2.87, 4 Mo 2.87
Gd (0.5000, 0.0000, 0.5000)  4 Hf 2.87, 4 Mo 2.87
Gd (0.5000, 0.5000, 0.0000)  4 Hf 2.87, 4 Mo 2.87
Hf (0.2500, 0.2500, 0.7500)  4 Gd 2.87
Hf (0.2500, 0.7500, 0.2500)  4 Gd 2.87
Hf (0.7500, 0.2500, 0.2500)  4 Gd 2.87
Hf (0.7500, 0.7500, 0.7500)  4 Gd 2.87
Mo (0.2500, 0.2500, 0.2500)  4 Gd 2.87
Mo (0.2500, 0.7500, 0.7500)  4 Gd 2.87
Mo (0.7500, 0.2500, 0.7500)  4 Gd 2.87
Mo (0.7500, 0.7500, 0.2500)  4 Gd 2.87

=====

Among the records above, which one has the lowest calculated density? LiGdHf

=====

What did the third record say?
Below is crystalline LiGdHf at its relaxed geometry, with properties calculated at the PBE level.

Summary:
E, eV/cell: -52.10
SG: F-43m, No. 216
Calculated density, g cm⁻³: 6.879

a = 6.9164 Å, b = 6.9164 Å, c = 6.9164 Å
α = 90.00°, β = 90.00°, γ = 90.00°
Last column: nearest neighbours and their distance in Å.
Fractional coordinates of all 12 atoms:
Li (0.0000, 0.0000, 0.0000)  4 Hf 2.99
Li (0.0000, 0.5000, 0.5000)  4 Hf 2.99
Li (0.5000, 0.0000, 0.5000)  4 Hf 2.99
Li (0.5000, 0.5000, 0.0000)  4 Hf 2.99
Gd (0.0000, 0.0000, 0.5000)  4 Hf 2.99
Gd (0.0000, 0.5000, 0.0000)  4 Hf 2.99
Gd (0.5000, 0.0000, 0.0000)  4 Hf 2.99
Gd (0.5000, 0.5000, 0.5000)  4 Hf 2.99
Hf (0.2500, 0.2500, 0.7500)  4 Gd 2.99, 4 Li 2.99
Hf (0.2500, 0.7500, 0.2500)  4 Gd 2.99, 4 Li 2.99
Hf (0.7500, 0.2500, 0.2500)  4 Gd 2.99, 4 Li 2.99
Hf (0.7500, 0.7500, 0.7500)  4 Gd 2.99, 4 Li 2.99

=====

What is the calculated density in the third record? 6.879 g cm⁻³